Below is a relaxed Dy4GePbC crystal, with properties calculated at the GGA-PBE level.

- Raw total energy: -5.7124 eV/atom
- Crystal system: orthorhombic
- Total moment: 0.00 μB/cell

a b c (Å): 8.527 8.527 6.737
angles (deg): 90.00 90.00 133.49
Atoms (fractional coordinates):
Dy: 0.000 0.500 0.000
Dy: 0.000 0.500 0.500
Dy: 0.083 0.917 0.750
Dy: 0.408 0.592 0.750
Dy: 0.500 0.000 0.000
Dy: 0.500 0.000 0.500
Dy: 0.592 0.408 0.250
Dy: 0.917 0.083 0.250
Ge: 0.115 0.885 0.250
Ge: 0.885 0.115 0.750
Pb: 0.393 0.607 0.250
Pb: 0.607 0.393 0.750
C: 0.248 0.752 0.750
C: 0.752 0.248 0.250